Record 1
Compound: YTlFeTe3
Source: OQMD
Functional: PBE
Structure: relaxed

Energy above the most stable polymorph in this dataset (meV per atom): 92
Raw total energy (eV per atom): -4.987
Symmetry: Pnma, No. 62

```
YTlFeTe3
1.0
-6.1568 -7.2050 3.8918
2.3646 0.0109 3.7609
-9.7262 11.5960 6.0814
Fe Te Tl Y
4 12 4 4
Direct
0.3450 0.7500 0.1291 Fe
0.8450 0.7500 0.3709 Fe
0.1550 0.2500 0.6291 Fe
0.6550 0.2500 0.8709 Fe
0.1576 0.7500 0.0217 Te
0.4831 0.2500 0.1141 Te
0.8007 0.7500 0.2167 Te
0.3007 0.7500 0.2833 Te
0.9831 0.2500 0.3859 Te
0.6576 0.7500 0.4783 Te
0.3424 0.2500 0.5217 Te
0.0169 0.7500 0.6141 Te
0.6993 0.2500 0.7167 Te
0.1993 0.2500 0.7833 Te
0.5169 0.7500 0.8859 Te
0.8424 0.2500 0.9783 Te
0.0650 0.2500 0.1840 Tl
0.5650 0.2500 0.3160 Tl
0.4350 0.7500 0.6840 Tl
0.9350 0.7500 0.8160 Tl
0.6713 0.7500 0.0507 Y
0.1713 0.7500 0.4493 Y
0.8287 0.2500 0.5507 Y
0.3287 0.2500 0.9493 Y
```

=====

Record 2
Compound: Na3Mg2ReO6
Source: OQMD
Functional: PBE
Structure: relaxed

Raw total energy (eV per atom): -6.062
Symmetry: C2/m, No. 12

```
Na3Mg2ReO6
1.0
-0.9880 5.0276 -1.3231
-2.7943 -3.9151 -2.2064
-2.3087 -0.0389 5.1155
Mg Na O Re
2 3 6 1
Direct
0.6666 0.3334 0.0000 Mg
0.3334 0.6666 0.0000 Mg
0.8290 0.1710 0.5000 Na
0.5000 0.5000 0.5000 Na
0.1710 0.8290 0.5000 Na
0.7494 0.7494 0.2028 O
0.3874 0.0679 0.2042 O
0.0679 0.3874 0.2042 O
0.9321 0.6126 0.7958 O
0.6126 0.9321 0.7958 O
0.2506 0.2506 0.7972 O
0.0000 0.0000 0.0000 Re
```

=====

Record 3
Compound: YZr2Bi
Source: OQMD
Functional: PBE
Structure: relaxed

Raw total energy (eV per atom): -6.944
Symmetry: F-43m, No. 216

```
YZr2Bi
1.0
0.0000 3.6751 3.6751
3.6751 0.0000 3.6751
3.6751 3.6751 0.0000
Bi Y Zr
1 1 2
Direct
0.5000 0.5000 0.5000 Bi
0.2500 0.2500 0.2500 Y
0.0000 0.0000 0.0000 Zr
0.7500 0.7500 0.7500 Zr
```